VASP calculation (PBE-GGA) on a geometry-optimized LaTb2TmTl2 structure.

Calculated values
Raw total energy, eV per atom: -4.165
ΔH_f (0 K), meV/atom: -266
DOS at the Fermi energy, states/eV/f.u.: 6.4
Magnetization, μB per formula unit: 0.0

Cell lengths 5.185, 10.119, 6.854 Å; angles 90.00, 90.00, 90.00 degrees
Space group Pmc2_1 (No. 26)
One atom of each set of equivalent atoms:
La (0.000, 0.043, 0.000) x2
Tb (0.000, 0.320, 0.381) x2
Tb (0.500, 0.454, 0.094) x2
Tm (0.500, 0.196, 0.721) x2
Tl (0.000, 0.365, 0.841) x2
Tl (0.500, 0.138, 0.268) x2